Here is a relaxed structure of Na2LiSe from the Alexandria database. Energies are from GGA-PBE.

a = 10.935 Å, b = 10.935 Å, c = 10.935 Å
α = 157.23°, β = 157.23°, γ = 32.41°
Element x y z (fractional)
1 Na 0.099 0.625 0.974
2 Na 0.375 0.349 0.474
3 Na 0.651 0.125 0.026
4 Na 0.875 0.901 0.526
5 Li 0.250 0.750 0.500
6 Li 0.500 0.500 0.000
7 Se 0.000 0.000 0.000
8 Se 0.750 0.250 0.500

## Properties
Final energy, eV per cell: -19.46
Mass density, g cm⁻³: 2.2
Formation energy without anion corrections, meV/atom: -423
Symmetry: I-42d (122)
D(E_F), states/eV per atom: 0.484